No. 1
Below is crystalline KLi2Ca2Sb2 at its relaxed geometry, with properties calculated at the PBE level.

Computed properties:
The value obtained for the total energy is -65.82 eV for the cell shown. The spin magnetization is 0.00 μB per atom. The value obtained for the density is 2.9 Mg/m³.

a = 4.9773 Å, b = 4.9773 Å, c = 29.8416 Å
α = 90.00°, β = 90.00°, γ = 120.00°
Closest atoms and distances in Å follow each position.
Space group R-3m (No. 166, hexagonal axes)
Unique sites:
K 0.0000 0.0000 0.0000  6 Sb 3.88, 6 Li 3.89, 2 Ca 3.96
Li 0.0000 0.0000 0.4214  3 Sb 2.87, 3 Ca 3.17
Ca 0.0000 0.0000 0.1328  3 Li 3.17, 4 Sb 3.17-3.37, 3 Ca 3.51
Sb 0.0000 0.0000 0.2458  3 Li 2.87, 3 Ca 3.17


No. 2
Below is crystalline KSrLi2Ca at its relaxed geometry, with properties calculated at the PBE level.

Computed properties:
Its energy of formation from the pure elements is 11.73 kcal/mol of atoms. The value obtained for the total energy is -6.06 eV for the cell shown. The spin magnetization is 0.00 μB per atom. The value obtained for the density is 1.4 Mg/m³.

a = 5.8016 Å, b = 5.8016 Å, c = 6.5974 Å
α = 90.00°, β = 90.00°, γ = 90.00°
Closest atoms and distances in Å follow each position.
Space group P4/mmm (No. 123)
Unique sites:
K 0.0000 0.0000 0.0000  4 Li 2.90
Sr 0.5000 0.5000 0.5000  4 Ca 4.10, 8 Li 4.39
Li 0.0000 0.5000 0.0000  2 K 2.90
Ca 0.0000 0.0000 0.5000  2 K 3.30


No. 3
Below is crystalline KSr2LiCa at its relaxed geometry, with properties calculated at the PBE level.

Computed properties:
Its energy of formation from the pure elements is 4.02 kcal/mol of atoms. The value obtained for the total energy is -7.50 eV for the cell shown. The spin magnetization is 0.00 μB per atom. The value obtained for the density is 1.7 Mg/m³.

a = 6.4660 Å, b = 6.4660 Å, c = 6.2386 Å
α = 90.00°, β = 90.00°, γ = 90.00°
Closest atoms and distances in Å follow each position.
Space group P4/mmm (No. 123)
Unique sites:
K 0.0000 0.0000 0.0000  8 Sr 4.49, 4 Ca 4.57
Sr 0.0000 0.5000 0.5000  2 Li 3.23
Li 0.5000 0.5000 0.5000  2 Ca 3.12, 4 Sr 3.23
Ca 0.5000 0.5000 0.0000  2 Li 3.12


No. 4
Below is crystalline KSrLiCa at its relaxed geometry, with properties calculated at the PBE level.

Computed properties:
Its energy of formation from the pure elements is 4.24 kcal/mol of atoms. The value obtained for the total energy is -23.83 eV for the cell shown. The spin magnetization is 0.00 μB per atom. The value obtained for the density is 1.6 Mg/m³.

a = 8.9624 Å, b = 8.9624 Å, c = 8.9624 Å
α = 90.00°, β = 90.00°, γ = 90.00°
Closest atoms and distances in Å follow each position.
Space group F-43m (No. 216)
Unique sites:
K 0.0000 0.0000 0.0000  4 Sr 3.88, 4 Ca 3.88
Sr 0.2500 0.2500 0.7500  4 K 3.88, 4 Li 3.88
Li 0.0000 0.0000 0.5000  4 Ca 3.88, 4 Sr 3.88
Ca 0.2500 0.2500 0.2500  4 K 3.88, 4 Li 3.88


No. 5
Below is crystalline KLiCaTl at its relaxed geometry, with properties calculated at the PBE level.

Computed properties:
Its energy of formation from the pure elements is -0.50 kcal/mol of atoms. The value obtained for the total energy is -29.86 eV for the cell shown. The spin magnetization is 0.00 μB per atom. The value obtained for the density is 3.9 Mg/m³.

a = 7.8916 Å, b = 7.8916 Å, c = 7.8916 Å
α = 90.00°, β = 90.00°, γ = 90.00°
Closest atoms and distances in Å follow each position.
Space group F-43m (No. 216)
Unique sites:
K 0.0000 0.0000 0.0000  4 Li 3.42, 4 Ca 3.42
Li 0.2500 0.2500 0.2500  4 Tl 3.42, 4 K 3.42
Ca 0.2500 0.2500 0.7500  4 K 3.42, 4 Tl 3.42
Tl 0.0000 0.0000 0.5000  4 Li 3.42, 4 Ca 3.42


No. 6
Below is crystalline KLiCa2Zn at its relaxed geometry, with properties calculated at the PBE level.

Computed properties:
Its energy of formation from the pure elements is 1.88 kcal/mol of atoms. The value obtained for the total energy is -7.88 eV for the cell shown. The spin magnetization is 0.00 μB per atom. The value obtained for the density is 1.7 Mg/m³.

a = 5.9428 Å, b = 5.9428 Å, c = 5.3747 Å
α = 90.00°, β = 90.00°, γ = 90.00°
Closest atoms and distances in Å follow each position.
Space group P4/mmm (No. 123)
Unique sites:
K 0.0000 0.0000 0.0000  8 Ca 4.01, 4 Li 4.20
Li 0.5000 0.5000 0.0000  2 Zn 2.69
Ca 0.0000 0.5000 0.5000  2 Zn 2.97
Zn 0.5000 0.5000 0.5000  2 Li 2.69, 4 Ca 2.97


No. 7
Below is crystalline KCaMg2 at its relaxed geometry, with properties calculated at the PBE level.

Computed properties:
Its energy of formation from the pure elements is 4.29 kcal/mol of atoms. The value obtained for the total energy is -22.18 eV for the cell shown. The spin magnetization is 0.00 μB per atom. The value obtained for the density is 1.6 Mg/m³.

a = 8.1265 Å, b = 8.1265 Å, c = 8.1265 Å
α = 90.00°, β = 90.00°, γ = 90.00°
Closest atoms and distances in Å follow each position.
Space group F-43m (No. 216)
Unique sites:
K 0.0000 0.0000 0.0000  4 Ca 3.52, 4 Mg 3.52
Ca 0.2500 0.2500 0.7500  4 K 3.52, 4 Mg 3.52
Mg 0.0000 0.0000 0.5000  4 Mg 3.52, 4 Ca 3.52
Mg 0.2500 0.2500 0.2500  4 K 3.52, 4 Mg 3.52


No. 8
Below is crystalline KCaMg6 at its relaxed geometry, with properties calculated at the PBE level.

Computed properties:
Its energy of formation from the pure elements is 3.31 kcal/mol of atoms. The value obtained for the total energy is -23.04 eV for the cell shown. The spin magnetization is 0.00 μB per atom. The value obtained for the density is 1.6 Mg/m³.

a = 5.5023 Å, b = 7.0529 Å, c = 11.8627 Å
α = 90.00°, β = 90.00°, γ = 90.00°
Closest atoms and distances in Å follow each position.
Space group Amm2 (No. 38)
Unique sites:
K 0.0000 0.0000 0.0000  10 Mg 3.34-3.57, 2 Ca 3.56
Ca 0.5000 0.0000 0.8093  10 Mg 3.31-3.59, 2 K 3.56
Mg 0.0000 0.0000 0.4838  10 Mg 3.30-3.49, 2 K 3.53
Mg 0.0000 0.2491 0.7383  2 K 3.34-3.57, 8 Mg 3.36-3.54, 2 Ca 3.37
Mg 0.5000 0.0000 0.3037  10 Mg 3.36-3.48, 2 Ca 3.53
Mg 0.5000 0.2224 0.5635  7 Mg 3.14-3.46, 1 Ca 3.31, 2 K 3.46


No. 9
Below is crystalline K3CaMg at its relaxed geometry, with properties calculated at the PBE level.

Computed properties:
Its energy of formation from the pure elements is 14.42 kcal/mol of atoms. The value obtained for the total energy is -3.76 eV for the cell shown. The spin magnetization is 0.00 μB per atom. The value obtained for the density is 0.7 Mg/m³.

a = 7.6179 Å, b = 7.6179 Å, c = 7.6179 Å
α = 90.00°, β = 90.00°, γ = 90.00°
Closest atoms and distances in Å follow each position.
Space group Pm-3m (No. 221)
Unique sites:
K 0.0000 0.0000 0.5000  2 Ca 3.81
Ca 0.0000 0.0000 0.0000  6 K 3.81
Mg 0.5000 0.5000 0.5000  12 K 5.39


No. 10
Below is crystalline KCaMg3 at its relaxed geometry, with properties calculated at the PBE level.

Computed properties:
Its energy of formation from the pure elements is 12.80 kcal/mol of atoms. The value obtained for the total energy is -5.11 eV for the cell shown. The spin magnetization is 0.00 μB per atom. The value obtained for the density is 1.0 Mg/m³.

a = 6.2234 Å, b = 6.2234 Å, c = 6.2234 Å
α = 90.00°, β = 90.00°, γ = 90.00°
Closest atoms and distances in Å follow each position.
Space group Pm-3m (No. 221)
Unique sites:
K 0.0000 0.0000 0.0000  12 Mg 4.40
Ca 0.5000 0.5000 0.5000  6 Mg 3.11
Mg 0.0000 0.5000 0.5000  2 Ca 3.11


No. 11
Below is crystalline K3CaMg at its relaxed geometry, with properties calculated at the PBE level.

Computed properties:
Its energy of formation from the pure elements is 9.08 kcal/mol of atoms. The value obtained for the total energy is -4.92 eV for the cell shown. The spin magnetization is 0.00 μB per atom. The value obtained for the density is 0.9 Mg/m³.

a = 6.8758 Å, b = 6.8758 Å, c = 6.8758 Å
α = 90.00°, β = 90.00°, γ = 90.00°
Closest atoms and distances in Å follow each position.
Space group Pm-3m (No. 221)
Unique sites:
K 0.0000 0.0000 0.5000  2 Mg 3.44
Ca 0.5000 0.5000 0.5000  12 K 4.86
Mg 0.0000 0.0000 0.0000  6 K 3.44


No. 12
Below is crystalline KCaMg2 at its relaxed geometry, with properties calculated at the PBE level.

Computed properties:
Its energy of formation from the pure elements is 3.41 kcal/mol of atoms. The value obtained for the total energy is -11.39 eV for the cell shown. The spin magnetization is 0.00 μB per atom. The value obtained for the density is 1.5 Mg/m³.

a = 8.2217 Å, b = 9.2007 Å, c = 3.7530 Å
α = 90.00°, β = 90.46°, γ = 90.00°
Closest atoms and distances in Å follow each position.
Space group C2/m (No. 12)
Unique sites:
K 0.0000 0.0000 0.0000  8 Mg 3.60-3.62, 2 K 3.75
Ca 0.0000 0.5000 0.0000  8 Mg 3.60-3.62, 2 Ca 3.75
Mg 0.2500 0.2500 0.5000  4 K 3.60-3.62, 4 Ca 3.60-3.62, 2 Mg 3.75